(1)
Material: NaTa3Fe
Method: DFT, PBEsol
State: optimized geometry

Properties
The value obtained for the total magnetic moment is 0.00 μB per formula unit. For the energy relative to the elements, the calculation gives 5.0 eV/f.u. The density of states at the Fermi level comes out at 5.23 states/eV per cell.

abc: 4.6124 4.6124 4.6124
angles: 90.00 90.00 90.00
Element x y z (fractional)
Na  0.5000  0.5000  0.5000
Fe  0.0000  0.0000  0.0000
Ta  0.0000  0.5000  0.0000
Ta  0.0000  0.0000  0.5000
Ta  0.5000  0.0000  0.0000


(2)
Material: Na2TaFe
Method: DFT, PBEsol
State: optimized geometry

Properties
The value obtained for the total magnetic moment is 2.26 μB per formula unit. For the energy relative to the elements, the calculation gives 7.0 eV/f.u. The density of states at the Fermi level comes out at 4.24 states/eV per cell.

abc: 4.7200 4.7200 4.7200
angles: 60.00 60.00 60.00
Site moments in Bohr magnetons follow the coordinates.
Element x y z (fractional)
Na  0.2500  0.2500  0.2500  -0.01
Na  0.7500  0.7500  0.7500  -0.01
Fe  0.0000  0.0000  0.0000  2.95
Ta  0.5000  0.5000  0.5000  -0.54


(3)
Material: NaFeTe3
Method: DFT, PBEsol
State: optimized geometry

Properties
The value obtained for the total magnetic moment is 3.31 μB per formula unit. The total DFT energy (no corrections) is -3.0085 eV per atom. The density of states at the Fermi level comes out at 10.53 states/eV per cell.

abc: 5.3336 5.3336 5.3336
angles: 90.00 90.00 90.00
Site moments in Bohr magnetons follow the coordinates.
Element x y z (fractional)
Na  0.0000  0.0000  0.0000  -0.01
Te  0.0000  0.5000  0.0000  -0.05
Te  0.0000  0.0000  0.5000  -0.05
Te  0.5000  0.0000  0.0000  -0.05
Fe  0.5000  0.5000  0.5000  3.35


(4)
Material: NaTlFe3
Method: DFT, PBEsol
State: optimized geometry

Properties
The value obtained for the total magnetic moment is 8.16 μB per formula unit. For the energy relative to the elements, the calculation gives 9.2 eV/f.u. The density of states at the Fermi level comes out at 3.47 states/eV per cell.

abc: 4.4322 4.4322 4.4322
angles: 90.00 90.00 90.00
Site moments in Bohr magnetons follow the coordinates.
Element x y z (fractional)
Na  0.0000  0.0000  0.0000  -0.04
Tl  0.5000  0.5000  0.5000  -0.06
Fe  0.0000  0.5000  0.0000  2.81
Fe  0.0000  0.0000  0.5000  2.81
Fe  0.5000  0.0000  0.0000  2.81